Entry 1:
BPIN2 (PBE, optimized geometry); space-group type = P4/mmm; calculated volume = 88.8 Å³/cell
1.0
3.348 0.000 0.000
0.000 3.348 0.000
0.000 0.000 7.925
I P B N
1 1 1 2
direct
0.000 0.000 0.500 I
0.000 0.000 0.000 P
0.500 0.500 0.500 B
0.000 0.500 0.000 N
0.500 0.000 0.000 N

***

Entry 2:
BPbIN2 (PBE, optimized geometry); space-group type = P4/mmm; calculated volume = 93.8 Å³/cell
1.0
-3.521 0.736 -2.021
-2.150 -1.133 3.333
0.053 5.207 1.805
Pb I B N
1 1 1 2
direct
0.500 0.500 0.500 Pb
0.000 0.000 0.500 I
0.000 0.000 0.000 B
0.000 0.500 0.000 N
0.500 0.000 0.000 N

***

Entry 3:
BPbIN2 (PBE, optimized geometry); space-group type = P4/mmm; calculated volume = 139.7 Å³/cell
1.0
-2.434 3.642 0.741
-2.321 -2.182 3.098
4.624 2.087 4.933
Pb I B N
1 1 1 2
direct
0.000 0.000 0.000 Pb
0.000 0.000 0.500 I
0.500 0.500 0.500 B
0.000 0.500 0.000 N
0.500 0.000 0.000 N

***

The polymorph energy (0 for the lowest one) results, record by record, are as follows: 0.000, 0.000, 0.315 eV per atom.
The formation energy without anion corrections results, record by record, are as follows: 1.41, 2.00, 2.32 eV/atom.
The D(E_F) results, record by record, are as follows: 2.62, 1.99, 1.31 states/eV/cell.